# 1
VASP calculation (PBE) on a relaxed HoCuSnTe3 crystal.

Crystal system: monoclinic
Polymorph energy (0 for the lowest one) in eV/f.u.: 0.35

abc: 10.0883 10.0883 8.5958
angles: 102.21 102.21 24.45
Atoms (fractional coordinates):
Ho  0.1591  0.1591  0.0826
Ho  0.8409  0.8409  0.9174
Cu  0.4539  0.4539  0.7928
Cu  0.5461  0.5461  0.2072
Sn  0.1215  0.1215  0.5662
Sn  0.8785  0.8785  0.4338
Te  0.0000  0.0000  0.0000
Te  0.3217  0.3217  0.1573
Te  0.3217  0.3217  0.6612
Te  0.5000  0.5000  0.5000
Te  0.6783  0.6783  0.3388
Te  0.6783  0.6783  0.8427

# 2
VASP calculation (PBE) on a relaxed HoCuSnTe3 crystal.

Crystal system: monoclinic
Polymorph energy (0 for the lowest one) in eV/f.u.: 0.12

abc: 8.3195 4.2351 10.4906
angles: 90.00 105.38 90.00
Atoms (fractional coordinates):
Ho  0.1956  0.2500  0.1680
Ho  0.8044  0.7500  0.8320
Cu  0.4253  0.7500  0.4189
Cu  0.5747  0.2500  0.5811
Sn  0.2521  0.7500  0.6996
Sn  0.7479  0.2500  0.3004
Te  0.0783  0.2500  0.8605
Te  0.2409  0.2500  0.4645
Te  0.4569  0.7500  0.1708
Te  0.5431  0.2500  0.8292
Te  0.7591  0.7500  0.5355
Te  0.9217  0.7500  0.1395

# 3
VASP calculation (PBE) on a relaxed Ho2TmCu4Sn4 crystal.

Raw total energy in eV for the cell shown: -49.95
Crystal system: orthorhombic

abc: 8.3943 8.3943 8.3943
angles: 149.32 131.35 58.62
Atoms (fractional coordinates):
Ho  0.1306  0.1306  0.0000
Ho  0.8694  0.8694  0.0000
Tm  0.5000  0.0000  0.5000
Cu  0.1399  0.3291  0.8108
Cu  0.4817  0.6709  0.8108
Cu  0.5183  0.3291  0.1892
Cu  0.8601  0.6709  0.1892
Sn  0.2044  0.5000  0.7044
Sn  0.2845  0.7845  0.5000
Sn  0.7155  0.2155  0.5000
Sn  0.7956  0.5000  0.2956

# 4
VASP calculation (PBE) on a relaxed HoTm2Cu4Sn4 crystal.

Raw total energy in eV for the cell shown: -49.72
Crystal system: orthorhombic

abc: 8.3778 8.3778 8.3778
angles: 149.46 131.14 58.73
Atoms (fractional coordinates):
Ho  0.0000  0.0000  0.0000
Tm  0.3693  0.8693  0.5000
Tm  0.6307  0.1307  0.5000
Cu  0.0191  0.3295  0.6896
Cu  0.3601  0.6705  0.6896
Cu  0.6399  0.3295  0.3104
Cu  0.9809  0.6705  0.3104
Sn  0.2165  0.2165  0.0000
Sn  0.2974  0.5000  0.7974
Sn  0.7026  0.5000  0.2026
Sn  0.7835  0.7835  0.0000

# 5
VASP calculation (PBE) on a relaxed HoTmCu2Sn crystal.

Raw total energy in eV for the cell shown: -45.69
Crystal system: orthorhombic

abc: 3.5854 4.2045 13.6702
angles: 90.00 90.00 90.00
Atoms (fractional coordinates):
Ho  0.0000  0.0000  0.0000
Ho  0.0000  0.5000  0.5000
Tm  0.0000  0.0000  0.2632
Tm  0.0000  0.5000  0.7632
Cu  0.5000  0.0000  0.4290
Cu  0.5000  0.0000  0.8320
Cu  0.5000  0.5000  0.3320
Cu  0.5000  0.5000  0.9290
Sn  0.5000  0.0000  0.6317
Sn  0.5000  0.5000  0.1317

# 6
VASP calculation (PBE) on a relaxed YHoCu2Sn crystal.

Raw total energy in eV for the cell shown: -49.72
Crystal system: orthorhombic

abc: 3.6173 4.2211 13.7490
angles: 90.00 90.00 90.00
Atoms (fractional coordinates):
Y  0.0000  0.0000  0.0000
Y  0.0000  0.5000  0.5000
Ho  0.0000  0.0000  0.7385
Ho  0.0000  0.5000  0.2385
Cu  0.5000  0.0000  0.1692
Cu  0.5000  0.0000  0.5723
Cu  0.5000  0.5000  0.0723
Cu  0.5000  0.5000  0.6692
Sn  0.5000  0.0000  0.3697
Sn  0.5000  0.5000  0.8697

# 7
VASP calculation (PBE) on a relaxed YHo2Cu4Sn4 crystal.

Raw total energy in eV for the cell shown: -52.12
Crystal system: orthorhombic

abc: 8.4085 8.4085 8.4085
angles: 149.30 131.30 58.68
Atoms (fractional coordinates):
Y  0.0000  0.0000  0.0000
Ho  0.3692  0.8692  0.5000
Ho  0.6308  0.1308  0.5000
Cu  0.0172  0.3288  0.6884
Cu  0.3596  0.6712  0.6884
Cu  0.6404  0.3288  0.3116
Cu  0.9828  0.6712  0.3116
Sn  0.2163  0.2163  0.0000
Sn  0.2970  0.5000  0.7970
Sn  0.7030  0.5000  0.2030
Sn  0.7837  0.7837  0.0000

# 8
VASP calculation (PBE) on a relaxed YHoCu2Sn2 crystal.

Raw total energy in eV for the cell shown: -30.13
Crystal system: trigonal

abc: 4.5295 4.5295 7.2216
angles: 90.00 90.00 120.00
Atoms (fractional coordinates):
Y  0.0000  0.0000  0.0000
Ho  0.0000  0.0000  0.4999
Cu  0.3333  0.6667  0.8139
Cu  0.6667  0.3333  0.3186
Sn  0.3333  0.6667  0.2310
Sn  0.6667  0.3333  0.7282

# 9
VASP calculation (PBE) on a relaxed TbHoCu6 crystal.

DFT formation energy in meV/atom: -179
Crystal system: orthorhombic

abc: 4.3655 5.7956 5.1130
angles: 90.00 90.00 90.00
Atoms (fractional coordinates):
Tb  0.0000  0.0000  0.0000
Ho  0.5000  0.5000  0.7256
Cu  0.0000  0.2271  0.5011
Cu  0.0000  0.5000  0.1166
Cu  0.0000  0.7729  0.5011
Cu  0.5000  0.0000  0.5980
Cu  0.5000  0.2794  0.2254
Cu  0.5000  0.7206  0.2254

# 10
VASP calculation (PBE) on a relaxed TbHoCu2 crystal.

DFT formation energy in meV/atom: -253
Crystal system: orthorhombic

abc: 4.4849 3.6943 10.2915
angles: 90.00 90.00 90.00
Atoms (fractional coordinates):
Tb  0.0000  0.0000  0.0000
Tb  0.0000  0.5000  0.5000
Ho  0.5000  0.0000  0.2805
Ho  0.5000  0.5000  0.7805
Cu  0.0000  0.0000  0.7129
Cu  0.0000  0.5000  0.2129
Cu  0.5000  0.0000  0.5694
Cu  0.5000  0.5000  0.0694

# 11
VASP calculation (PBE) on a relaxed TbHoCu4 crystal.

DFT formation energy in meV/atom: -179
Crystal system: tetragonal
Polymorph energy (0 for the lowest one) in eV/f.u.: 0.00

abc: 3.4865 3.4865 8.7221
angles: 90.00 90.00 90.00
Atoms (fractional coordinates):
Tb  0.0000  0.0000  0.0000
Ho  0.5000  0.5000  0.5000
Cu  0.0000  0.0000  0.3255
Cu  0.0000  0.0000  0.6745
Cu  0.5000  0.5000  0.1788
Cu  0.5000  0.5000  0.8212

# 12
VASP calculation (PBE) on a relaxed TbHoCu4 crystal.

DFT formation energy in meV/atom: -156
Crystal system: cubic
Polymorph energy (0 for the lowest one) in eV/f.u.: 0.14

abc: 5.2179 5.2179 5.2179
angles: 60.00 60.00 60.00
Atoms (fractional coordinates):
Tb  0.0000  0.0000  0.0000
Ho  0.2500  0.2500  0.2500
Cu  0.1260  0.6247  0.6247
Cu  0.6247  0.1260  0.6247
Cu  0.6247  0.6247  0.1260
Cu  0.6247  0.6247  0.6247

# 13
VASP calculation (PBE) on a relaxed TbHoCuTe3 crystal.

Raw total energy in eV for the cell shown: -56.75
Crystal system: orthorhombic

abc: 7.3961 7.3961 11.0627
angles: 90.00 90.00 147.50
Atoms (fractional coordinates):
Tb  0.2273  0.7727  0.7500
Tb  0.7727  0.2273  0.2500
Ho  0.0000  0.0000  0.0000
Ho  0.0000  0.0000  0.5000
Cu  0.4710  0.5290  0.2500
Cu  0.5290  0.4710  0.7500
Te  0.0961  0.9039  0.2500
Te  0.3512  0.6488  0.0675
Te  0.3512  0.6488  0.4325
Te  0.6488  0.3512  0.5675
Te  0.6488  0.3512  0.9325
Te  0.9039  0.0961  0.7500

# 14
VASP calculation (PBE) on a relaxed Ho5CuTe3 crystal.

Crystal system: hexagonal
Polymorph energy (0 for the lowest one) in eV/f.u.: 0.00

abc: 8.5671 8.5671 3.8451
angles: 90.00 90.00 120.00
Atoms (fractional coordinates):
Ho  0.0000  0.2332  0.0000
Ho  0.2332  0.0000  0.0000
Ho  0.3333  0.6667  0.0000
Ho  0.6667  0.3333  0.0000
Ho  0.7668  0.7668  0.0000
Cu  0.0000  0.0000  0.5000
Te  0.0000  0.5628  0.5000
Te  0.4372  0.4372  0.5000
Te  0.5628  0.0000  0.5000

# 15
VASP calculation (PBE) on a relaxed Ho5CuTe3 crystal.

Crystal system: hexagonal
Polymorph energy (0 for the lowest one) in eV/f.u.: 0.30

abc: 8.3702 8.3702 3.9682
angles: 90.00 90.00 120.00
Atoms (fractional coordinates):
Ho  0.0000  0.6683  0.0000
Ho  0.3317  0.3317  0.0000
Ho  0.3333  0.6667  0.5000
Ho  0.6667  0.3333  0.5000
Ho  0.6683  0.0000  0.0000
Cu  0.0000  0.0000  0.0000
Te  0.0000  0.2740  0.5000
Te  0.2740  0.0000  0.5000
Te  0.7260  0.7260  0.5000

# 16
VASP calculation (PBE) on a relaxed HoCu2Te4 crystal.

Raw total energy in eV for the cell shown: -55.47
Crystal system: monoclinic

abc: 8.3975 8.3975 7.7174
angles: 116.81 116.81 99.32
Atoms (fractional coordinates):
Ho  0.1252  0.8748  0.7500
Ho  0.8748  0.1252  0.2500
Cu  0.0000  0.5000  0.0000
Cu  0.5000  0.0000  0.5000
Cu  0.5000  0.5000  0.0000
Cu  0.5000  0.5000  0.5000
Te  0.1346  0.2735  0.7936
Te  0.1633  0.5253  0.3875
Te  0.2735  0.1346  0.2936
Te  0.4747  0.8367  0.1125
Te  0.5253  0.1633  0.8875
Te  0.7265  0.8654  0.7064
Te  0.8367  0.4747  0.6125
Te  0.8654  0.7265  0.2064

# 17
VASP calculation (PBE) on a relaxed Ho7Cu2Te2 crystal.

Raw total energy in eV for the cell shown: -52.06
Crystal system: orthorhombic

abc: 9.3013 9.3013 9.3013
angles: 155.49 67.53 118.18
Atoms (fractional coordinates):
Ho  0.0000  0.0000  0.0000
Ho  0.2849  0.4147  0.8702
Ho  0.3053  0.6199  0.6854
Ho  0.5446  0.4147  0.1298
Ho  0.6194  0.2628  0.3567
Ho  0.9061  0.2628  0.6433
Ho  0.9346  0.6199  0.3146
Cu  0.1615  0.9250  0.2364
Cu  0.6886  0.9250  0.7636
Te  0.2640  0.7640  0.5000
Te  0.6617  0.6617  0.0000

# 18
VASP calculation (PBE) on a relaxed HoTlCuTe3 crystal.

Raw total energy in eV for the cell shown: -48.36
Crystal system: orthorhombic

abc: 8.0745 8.0745 11.2828
angles: 90.00 90.00 150.13
Atoms (fractional coordinates):
Ho  0.0000  0.0000  0.0000
Ho  0.0000  0.0000  0.5000
Tl  0.2482  0.7518  0.7500
Tl  0.7518  0.2482  0.2500
Cu  0.4674  0.5326  0.2500
Cu  0.5326  0.4674  0.7500
Te  0.0725  0.9275  0.2500
Te  0.3651  0.6349  0.0647
Te  0.3651  0.6349  0.4353
Te  0.6349  0.3651  0.5647
Te  0.6349  0.3651  0.9353
Te  0.9275  0.0725  0.7500

# 19
VASP calculation (PBE) on a relaxed Ho3Tm3CuTe2 crystal.

Crystal system: hexagonal
Polymorph energy (0 for the lowest one) in eV/f.u.: 0.23

abc: 8.3535 8.3535 3.8999
angles: 90.00 90.00 120.00
Atoms (fractional coordinates):
Ho  0.0000  0.2433  0.0000
Ho  0.2433  0.0000  0.0000
Ho  0.7567  0.7567  0.0000
Tm  0.0000  0.5990  0.5000
Tm  0.4010  0.4010  0.5000
Tm  0.5990  0.0000  0.5000
Cu  0.0000  0.0000  0.5000
Te  0.3333  0.6667  0.0000
Te  0.6667  0.3333  0.0000

# 20
VASP calculation (PBE) on a relaxed HoTmCuTe3 crystal.

Crystal system: orthorhombic
Polymorph energy (0 for the lowest one) in eV/f.u.: 0.06

abc: 7.4053 7.4053 10.9994
angles: 90.00 90.00 148.02
Atoms (fractional coordinates):
Ho  0.0000  0.0000  0.0000
Ho  0.0000  0.0000  0.5000
Tm  0.2269  0.7731  0.7500
Tm  0.7731  0.2269  0.2500
Cu  0.4712  0.5288  0.2500
Cu  0.5288  0.4712  0.7500
Te  0.0994  0.9006  0.2500
Te  0.3499  0.6501  0.0682
Te  0.3499  0.6501  0.4318
Te  0.6501  0.3499  0.5682
Te  0.6501  0.3499  0.9318
Te  0.9006  0.0994  0.7500